# 1
PBE+U Co2Ag2GeO6, optimized geometry; space group = No. 12
1.0
-0.277 1.890 -4.589
3.612 -3.237 1.089
-5.448 -3.743 0.352
O Ge Co Ag
6 1 2 2
Direct
0.233 0.233 0.333
0.906 0.569 0.334
0.767 0.767 0.667
0.094 0.431 0.666
0.569 0.906 0.334
0.431 0.094 0.666
0.000 0.000 0.500
0.667 0.333 0.500
0.333 0.667 0.500
0.174 0.826 0.000
0.826 0.174 0.000

***

# 2
PBE+U CoAgGe2O6, optimized geometry; space group = No. 15
1.0
-3.346 0.352 -4.813
-2.355 -6.560 -1.033
-6.545 0.953 2.429
Ge O Co Ag
4 12 2 2
Direct
0.164 0.384 0.210
0.664 0.210 0.384
0.336 0.790 0.616
0.836 0.616 0.790
0.698 0.775 0.979
0.342 0.317 0.394
0.658 0.683 0.606
0.302 0.225 0.021
0.158 0.606 0.683
0.103 0.640 0.155
0.198 0.979 0.775
0.802 0.021 0.225
0.603 0.155 0.640
0.397 0.845 0.360
0.897 0.360 0.845
0.842 0.394 0.317
0.250 0.265 0.735
0.750 0.735 0.265
0.750 0.093 0.907
0.250 0.907 0.093

***

no.,E_tot (eV/cell)
1,-60.16
2,-116.46